A plane-wave DFT calculation with PBE was carried out for a relaxed Y3TaBe crystal.

Properties
Relative energy among the computed polymorphs = 0.2876 eV/atom
E_form = 104.1 kJ per mole of atoms
Electronic total energy = -5.9153 eV per atom

Cell lengths 5.424, 5.424, 5.424 Å; angles 90.00, 90.00, 90.00 degrees
Space group Pm-3m (No. 221)
Symmetry-distinct sites (fractional):
Y (0.000, 0.000, 0.500)
Ta (0.000, 0.000, 0.000)
Be (0.500, 0.500, 0.500)